VASP calculation (SCAN) on TaSi2Br at its PBEsol-relaxed geometry.

a = 6.4155 Å, b = 6.4155 Å, c = 6.4155 Å
α = 90.00°, β = 90.00°, γ = 90.00°
Fractional positions:
Ta1 0.0000 0.0000 0.0000
Ta2 0.0000 0.5000 0.5000
Ta3 0.5000 0.0000 0.5000
Ta4 0.5000 0.5000 0.0000
Si1 0.0000 0.0000 0.5000
Si2 0.0000 0.5000 0.0000
Si3 0.2500 0.2500 0.2500
Si4 0.2500 0.7500 0.7500
Si5 0.5000 0.0000 0.0000
Si6 0.5000 0.5000 0.5000
Si7 0.7500 0.2500 0.7500
Si8 0.7500 0.7500 0.2500
Br1 0.2500 0.2500 0.7500
Br2 0.2500 0.7500 0.2500
Br3 0.7500 0.2500 0.2500
Br4 0.7500 0.7500 0.7500

Size of the total moment in μB/cell: 0.00
Distance to the lowest polymorph of the same formula in kJ/mol of atoms: 71.6
Calculated density in g/cm3: 7.97
Formation energy without anion corrections in eV per atom: 0.895
SG: F-43m